Computed, not measured: TaAlZn2F after structural relaxation at the GGA-PBE level of DFT.

abc: 5.137 5.137 3.976
angles: 90.00 90.00 90.00
Positions (direct):
Ta 0.000 0.000 0.000
Al 0.500 0.500 0.500
Zn 0.000 0.500 0.000
Zn 0.500 0.000 0.000
F 0.000 0.000 0.500

Summary:
DOS(E_F) = 0.738 states/eV per atom
spin magnetization = 0.000 μB/atom
uncorrected energy = -3.881 eV per atom


Computed, not measured: Tb2AlF8 after structural relaxation at the GGA-PBE level of DFT.

abc: 5.870 5.870 4.627
angles: 105.03 105.03 75.69
Positions (direct):
Tb 0.170 0.170 0.371
Tb 0.830 0.830 0.629
Al 0.500 0.500 0.000
F 0.089 0.089 0.826
F 0.191 0.544 0.747
F 0.381 0.381 0.230
F 0.456 0.809 0.253
F 0.544 0.191 0.747
F 0.619 0.619 0.770
F 0.809 0.456 0.253
F 0.911 0.911 0.174

Summary:
DOS(E_F) = 0.237 states/eV per atom
spin magnetization = 0.080 μB/atom
uncorrected energy = -6.187 eV per atom


Computed, not measured: Tb2AlF after structural relaxation at the GGA-PBE level of DFT.

abc: 7.748 7.748 7.748
angles: 27.10 27.10 27.10
Positions (direct):
Tb 0.235 0.235 0.235
Tb 0.765 0.765 0.765
Al 0.000 0.000 0.000
F 0.500 0.500 0.500

Summary:
DOS(E_F) = 0.502 states/eV per atom
spin magnetization = 0.000 μB/atom
uncorrected energy = -4.968 eV per atom


Computed, not measured: AlTcF2 after structural relaxation at the GGA-PBE level of DFT.

abc: 4.135 4.135 4.135
angles: 60.00 60.00 60.00
Positions (direct):
Al 0.000 0.000 0.000
Tc 0.500 0.500 0.500
F 0.250 0.250 0.250
F 0.750 0.750 0.750

Summary:
DOS(E_F) = 2.348 states/eV per atom
spin magnetization = 0.000 μB/atom
uncorrected energy = -4.766 eV per atom


Computed, not measured: AlTcF2 after structural relaxation at the GGA-PBE level of DFT.

abc: 8.744 8.744 8.744
angles: 18.22 18.22 18.22
Positions (direct):
Al 0.000 0.000 0.000
Tc 0.500 0.500 0.500
F 0.385 0.385 0.385
F 0.615 0.615 0.615

Summary:
DOS(E_F) = 0.485 states/eV per atom
spin magnetization = 0.537 μB/atom
uncorrected energy = -5.299 eV per atom


Computed, not measured: AlTcF2 after structural relaxation at the GGA-PBE level of DFT.

abc: 7.998 7.998 7.998
angles: 19.49 19.49 19.49
Positions (direct):
Al 0.000 0.000 0.000
Tc 0.500 0.500 0.500
F 0.078 0.078 0.078
F 0.922 0.922 0.922

Summary:
DOS(E_F) = 0.664 states/eV per atom
spin magnetization = 0.209 μB/atom
uncorrected energy = -5.470 eV per atom


Computed, not measured: AlTcF3 after structural relaxation at the GGA-PBE level of DFT.

abc: 4.376 4.376 4.376
angles: 90.00 90.00 90.00
Positions (direct):
Al 0.000 0.000 0.000
Tc 0.500 0.500 0.500
F 0.000 0.500 0.500
F 0.500 0.000 0.500
F 0.500 0.500 0.000

Summary:
DOS(E_F) = 0.764 states/eV per atom
spin magnetization = 0.731 μB/atom
uncorrected energy = -4.955 eV per atom


Computed, not measured: AlTcF2 after structural relaxation at the GGA-PBE level of DFT.

abc: 5.786 5.786 5.786
angles: 120.81 120.81 88.59
Positions (direct):
Al 0.000 0.000 0.000
Al 0.750 0.250 0.500
Tc 0.250 0.750 0.500
Tc 0.500 0.500 0.000
F 0.375 0.128 0.253
F 0.872 0.125 0.247
F 0.875 0.122 0.747
F 0.878 0.625 0.753

Summary:
DOS(E_F) = 0.786 states/eV per atom
spin magnetization = 0.865 μB/atom
uncorrected energy = -5.100 eV per atom


Computed, not measured: AlTcF3 after structural relaxation at the GGA-PBE level of DFT.

abc: 4.017 4.017 4.017
angles: 90.00 90.00 90.00
Positions (direct):
Al 0.000 0.000 0.000
Tc 0.500 0.500 0.500
F 0.000 0.000 0.500
F 0.000 0.500 0.000
F 0.500 0.000 0.000

Summary:
DOS(E_F) = 1.155 states/eV per atom
spin magnetization = 0.766 μB/atom
uncorrected energy = -5.125 eV per atom


Computed, not measured: Al3TcF after structural relaxation at the GGA-PBE level of DFT.

abc: 4.727 4.727 4.727
angles: 90.00 90.00 90.00
Positions (direct):
Al 0.000 0.000 0.500
Al 0.000 0.500 0.000
Al 0.500 0.000 0.000
Tc 0.000 0.000 0.000
F 0.500 0.500 0.500

Summary:
DOS(E_F) = 0.330 states/eV per atom
spin magnetization = 0.000 μB/atom
uncorrected energy = -4.750 eV per atom


Computed, not measured: Al3TcF after structural relaxation at the GGA-PBE level of DFT.

abc: 4.133 4.133 4.133
angles: 90.00 90.00 90.00
Positions (direct):
Al 0.000 0.000 0.500
Al 0.000 0.500 0.000
Al 0.500 0.000 0.000
Tc 0.500 0.500 0.500
F 0.000 0.000 0.000

Summary:
DOS(E_F) = 0.804 states/eV per atom
spin magnetization = 0.217 μB/atom
uncorrected energy = -4.912 eV per atom